# 1
First-principles (GGA-PBE) data for crystalline MgSc2Cd at its relaxed geometry, as listed in Alexandria via LeMat-Bulk.

POSCAR file:
```
MgSc2Cd
1.0
-2.7998 1.8330 1.3577
-1.8860 -3.0844 0.2748
2.5029 -0.9556 6.4516
Sc Mg Cd
2 1 1
direct
0.0000 0.0000 0.9998
0.5000 0.5000 0.2566
0.5000 0.5000 0.7416
0.0000 0.0000 0.5020
```

Calculated values
**Space-group type**: No. 25
**Theoretical density**: 4.1 Mg/m³
**Relative energy among the computed polymorphs**: 79.2 meV per atom
**Energy of formation from the pure elements**: -95.7 meV per atom

# 2
First-principles (GGA-PBE) data for crystalline Mg4ScCd2 at its relaxed geometry, as listed in Alexandria via LeMat-Bulk.

POSCAR file:
```
Mg4ScCd2
1.0
-8.0616 0.6780 6.0553
-2.8814 -3.7820 -3.4127
3.2980 -2.1650 4.6332
Mg Sc Cd
8 2 4
direct
0.8177 0.5014 0.0000
0.7500 0.5013 0.5000
0.7500 0.0013 0.5000
0.6823 0.0014 0.0000
0.3177 0.9986 0.0000
0.2500 0.9987 0.5000
0.2500 0.4987 0.5000
0.1823 0.4986 0.0000
0.0000 0.0000 0.0000
0.5000 0.5000 0.0000
0.0000 0.7082 0.4164
0.0000 0.2918 0.5836
0.5000 0.7918 0.5836
0.5000 0.2082 0.4164
```

Calculated values
**Space-group type**: No. 64
**Theoretical density**: 3.9 Mg/m³
**Relative energy among the computed polymorphs**: 0.0 meV per atom
**Energy of formation from the pure elements**: -40.2 meV per atom

Q: Number 2 is which compound?
A: Mg4ScCd2